First-principles (PBE with a Hubbard U) data for a geometry-optimized BaCrF5 structure, as listed in Alexandria.

Properties
Magnetic moment, μB per formula unit: 3.00
Calculated total energy, eV/atom: -5.964

Structure (POSCAR):
```
BaCrF5
1.0
5.1511 0.0000 0.0000
0.0000 5.8052 0.0000
0.0000 0.0000 14.1608
Cr F Ba
4 20 4
Direct
0.6846 0.6498 0.9139 Cr
0.8154 0.3502 0.4139 Cr
0.3154 0.1498 0.5861 Cr
0.1846 0.8502 0.0861 Cr
0.5227 0.3630 0.5061 F
0.4587 0.8893 0.5204 F
0.0413 0.1107 0.0204 F
0.4773 0.8630 0.9939 F
0.1392 0.9454 0.6717 F
0.9042 0.8522 0.1762 F
0.6849 0.0890 0.3440 F
0.6392 0.5546 0.3283 F
0.3151 0.5890 0.1560 F
0.5413 0.3893 0.9796 F
0.9587 0.6107 0.4796 F
0.0227 0.1370 0.4939 F
0.4042 0.6478 0.8238 F
0.5958 0.1478 0.6762 F
0.8151 0.9110 0.8440 F
0.1849 0.4110 0.6560 F
0.9773 0.6370 0.0061 F
0.3608 0.0546 0.1717 F
0.8608 0.4454 0.8283 F
0.0958 0.3522 0.3238 F
0.7631 0.3382 0.1568 Ba
0.7369 0.6618 0.6568 Ba
0.2369 0.8382 0.3432 Ba
0.2631 0.1618 0.8432 Ba
```